[1]
{"formula": "LaMn2As", "functional": "PBE", "state": "relaxed", "sg": "R-3m, No. 166", "crystal_system": "trigonal", "e_tot_ev_per_atom": -7.186, "formation_energy_ev_per_fu": -0.828, "density_g_cm3": 6.9, "cell": [[4.160, 0.008, 0.015], [2.072, 3.607, 0.015], [2.064, 1.197, 5.172]], "species": ["As", "La", "Mn", "Mn"], "frac_coords": [[0.750, 0.750, 0.750], [0.250, 0.250, 0.250], [0.070, 0.070, 0.790], [0.430, 0.430, 0.710]]}

[2]
{"formula": "LaMn2As", "functional": "PBE", "state": "relaxed", "sg": "Pm, No. 6", "crystal_system": "monoclinic", "e_tot_ev_per_atom": -7.114, "formation_energy_ev_per_fu": -0.540, "density_g_cm3": 6.1, "cell": [[4.023, 0.000, 0.000], [0.000, 3.868, 0.212], [0.000, 1.618, 5.736]], "species": ["As", "La", "Mn", "Mn"], "frac_coords": [[0.000, 0.327, 0.472], [0.500, 0.721, 0.685], [0.000, 0.995, 0.133], [0.500, 0.457, 0.210]]}

[3]
{"formula": "La2MnAs", "functional": "PBE", "state": "relaxed", "sg": "P4/mmm, No. 123", "crystal_system": "tetragonal", "e_tot_ev_per_atom": -6.358, "formation_energy_ev_per_fu": -1.759, "density_g_cm3": 6.4, "cell": [[3.865, 0.000, 0.000], [0.000, 3.861, 0.139], [0.000, 3.606, 7.224]], "species": ["As", "La", "La", "Mn"], "frac_coords": [[0.500, 0.750, 0.750], [0.000, 0.015, 0.986], [0.000, 0.485, 0.514], [0.500, 0.250, 0.250]]}

[4]
{"formula": "La4MnAs", "functional": "PBE", "state": "relaxed", "sg": "F-43m, No. 216", "crystal_system": "cubic", "e_tot_ev_per_atom": -5.158, "formation_energy_ev_per_fu": 2.578, "density_g_cm3": 6.2, "cell": [[0.000, 4.499, 4.499], [4.499, 0.000, 4.499], [4.499, 4.499, 0.000]], "species": ["La", "La", "La", "La", "Mn", "As"], "frac_coords": [[0.876, 0.375, 0.375], [0.375, 0.375, 0.876], [0.375, 0.876, 0.375], [0.375, 0.375, 0.375], [0.750, 0.750, 0.750], [0.000, 0.000, 0.000]]}

[5]
{"formula": "LaMnAs3", "functional": "PBE", "state": "relaxed", "sg": "Pm-3m, No. 221", "e_above_lowest_polymorph_mev_per_atom": 278, "crystal_system": "cubic", "e_tot_ev_per_atom": -6.053, "formation_energy_ev_per_fu": -2.220, "density_g_cm3": 6.3, "cell": [[-3.577, -2.442, 2.069], [3.059, -3.521, 1.133], [0.942, 2.163, 4.180]], "species": ["As", "As", "As", "Mn", "La"], "frac_coords": [[0.000, 0.500, 0.000], [0.000, 0.000, 0.500], [0.500, 0.000, 0.000], [0.000, 0.000, 0.000], [0.500, 0.500, 0.500]]}

[6]
{"formula": "LaMn2As", "functional": "PBE", "state": "relaxed", "sg": "P4/mmm, No. 123", "crystal_system": "tetragonal", "e_tot_ev_per_atom": -6.908, "formation_energy_ev_per_fu": 0.285, "density_g_cm3": 7.0, "cell": [[3.363, 0.008, 0.000], [-0.008, 3.363, 0.000], [0.000, 0.000, 6.803]], "species": ["As", "La", "Mn", "Mn"], "frac_coords": [[0.500, 0.500, 0.250], [0.500, 0.500, 0.750], [0.000, 0.000, 0.065], [0.000, 0.000, 0.435]]}

[7]
{"formula": "LaMnAs2", "functional": "PBE", "state": "relaxed", "sg": "I-4m2, No. 119", "crystal_system": "tetragonal", "e_tot_ev_per_atom": -6.254, "formation_energy_ev_per_fu": -1.622, "density_g_cm3": 6.4, "cell": [[5.897, 0.225, 0.000], [2.729, 5.232, 0.000], [-4.313, -2.729, 2.963]], "species": ["As", "As", "La", "Mn"], "frac_coords": [[0.000, 0.000, 0.000], [0.250, 0.750, 0.500], [0.500, 0.500, 0.000], [0.750, 0.250, 0.500]]}

[8]
{"formula": "LaMn2As", "functional": "PBE", "state": "relaxed", "sg": "F-43m, No. 216", "crystal_system": "cubic", "e_tot_ev_per_atom": -6.811, "formation_energy_ev_per_fu": 0.671, "density_g_cm3": 6.4, "cell": [[4.911, 0.000, 0.000], [2.456, 4.253, 0.000], [2.456, 1.418, 4.010]], "species": ["As", "La", "Mn", "Mn"], "frac_coords": [[0.500, 0.500, 0.500], [0.250, 0.250, 0.250], [0.000, 0.000, 0.000], [0.750, 0.750, 0.750]]}